(P)
First-principles (PBE) data for a geometry-optimized AlCrBr2 structure, as listed in the Alexandria database.

Cell: 4.1647 4.1647 6.1366 Å, 90.00 90.00 90.00°
Space group P4mm (No. 99)
One atom of each set of equivalent atoms:
1 Al 0.0000 0.0000 0.0000
2 Cr 0.5000 0.5000 0.5998
3 Br 0.0000 0.0000 0.4769
4 Br 0.5000 0.5000 0.0335

Properties
Its crystal system is tetragonal. The calculation puts the density of states at the Fermi level at 0.1937 states/eV/atom.

***

(Q)
First-principles (PBE) data for a geometry-optimized AlCrBr2 structure, as listed in the Alexandria database.

Cell: 4.0666 4.0666 12.9538 Å, 90.00 90.00 90.00°
Space group I-4m2 (No. 119)
One atom of each set of equivalent atoms:
1 Al 0.0000 0.0000 0.0000
2 Cr 0.0000 0.5000 0.2500
3 Br 0.0000 0.0000 0.5000
4 Br 0.0000 0.5000 0.7500

Properties
Its crystal system is tetragonal. The calculation puts the density of states at the Fermi level at 0.2502 states/eV/atom.

***

(R)
First-principles (PBE) data for a geometry-optimized AlCrBr2 structure, as listed in the Alexandria database.

Cell: 3.6849 3.6849 27.9267 Å, 90.00 90.00 120.00°
Space group R-3m (No. 166, hexagonal axes)
One atom of each set of equivalent atoms:
1 Al 0.0000 0.0000 0.0000
2 Cr 0.0000 0.0000 0.5000
3 Br 0.0000 0.0000 0.1088

Properties
Its crystal system is trigonal. The calculation puts the density of states at the Fermi level at 1.8958 states/eV/atom.

***

Stability summary - winner: (R); margin: 12.2 kJ/mol of atoms.

***

(P)
First-principles (PBE) data for a geometry-optimized AlCrBr2 structure, as listed in the Alexandria database.

Cell: 6.6821 6.6821 6.6821 Å, 90.00 90.00 90.00°
Space group Fm-3m (No. 225)
One atom of each set of equivalent atoms:
1 Al 0.0000 0.0000 0.0000
2 Cr 0.0000 0.0000 0.5000
3 Br 0.2500 0.2500 0.2500

Properties
Its crystal system is cubic. The calculation puts the density of states at the Fermi level at 2.0000 states/eV/atom.

***

(Q)
First-principles (PBE) data for a geometry-optimized AlCrBr2 structure, as listed in the Alexandria database.

Cell: 3.5336 3.5336 7.7003 Å, 90.00 90.00 90.00°
Space group P4/mmm (No. 123)
One atom of each set of equivalent atoms:
1 Al 0.0000 0.0000 0.0000
2 Cr 0.0000 0.0000 0.5000
3 Br 0.5000 0.5000 0.2782

Properties
Its crystal system is tetragonal. The calculation puts the density of states at the Fermi level at 0.6678 states/eV/atom.

***

Stability summary - winner: (Q); margin: 61.2 kJ/mol of atoms.

***

(P)
First-principles (PBE) data for a geometry-optimized AlCrBr2 structure, as listed in the Alexandria database.

Cell: 9.1994 9.1994 5.3274 Å, 90.00 90.00 90.00°
Space group I-42d (No. 122)
One atom of each set of equivalent atoms:
1 Al 0.0000 0.0000 0.0000
2 Cr 0.0000 0.0000 0.5000
3 Br 0.1046 0.7500 0.6250

Properties
Its crystal system is tetragonal. The calculation puts the density of states at the Fermi level at 0.4931 states/eV/atom.

***

(Q)
First-principles (PBE) data for a geometry-optimized AlCrBr2 structure, as listed in the Alexandria database.

Cell: 3.3009 3.3009 8.8375 Å, 90.00 90.00 90.00°
Space group P4mm (No. 99)
One atom of each set of equivalent atoms:
1 Al 0.0000 0.0000 0.0000
2 Cr 0.5000 0.5000 0.8193
3 Br 0.0000 0.0000 0.6416
4 Br 0.5000 0.5000 0.1958

Properties
Its crystal system is tetragonal. The calculation puts the density of states at the Fermi level at 0.4984 states/eV/atom.

***

Stability summary - winner: (Q); margin: 3.2 kJ/mol of atoms.

***

(P)
First-principles (PBE) data for a geometry-optimized AlCrBr2 structure, as listed in the Alexandria database.

Cell: 7.6730 8.2415 3.7473 Å, 90.00 118.09 90.00°
Space group C2/m (No. 12)
One atom of each set of equivalent atoms:
1 Al 0.0000 0.0000 0.0000
2 Cr 0.0000 0.5000 0.0000
3 Br 0.2500 0.2500 0.5000

Properties
Its crystal system is monoclinic. The calculation puts the density of states at the Fermi level at 0.2850 states/eV/atom.

***

(Q)
First-principles (PBE) data for a geometry-optimized AlCrBr2 structure, as listed in the Alexandria database.

Cell: 7.3019 7.3019 7.3019 Å, 90.00 90.00 90.00°
Space group F-43m (No. 216)
One atom of each set of equivalent atoms:
1 Al 0.0000 0.0000 0.0000
2 Cr 0.2500 0.2500 0.7500
3 Br 0.0000 0.0000 0.5000
4 Br 0.2500 0.2500 0.2500

Properties
Its crystal system is cubic. The calculation puts the density of states at the Fermi level at 0.0289 states/eV/atom.

***

(R)
First-principles (PBE) data for a geometry-optimized AlCrBr2 structure, as listed in the Alexandria database.

Cell: 3.5585 7.6703 9.3430 Å, 90.00 90.00 90.00°
Space group Imm2 (No. 44)
One atom of each set of equivalent atoms:
1 Al 0.0000 0.0000 0.0000
2 Cr 0.0000 0.5000 0.7156
3 Br 0.0000 0.0000 0.4179
4 Br 0.0000 0.5000 0.3011

Properties
Its crystal system is orthorhombic. The calculation puts the density of states at the Fermi level at 0.1093 states/eV/atom.

***

(S)
First-principles (PBE) data for a geometry-optimized AlCrBr2 structure, as listed in the Alexandria database.

Cell: 3.5643 3.5643 28.1704 Å, 90.00 90.00 120.00°
Space group R3m (No. 160, hexagonal axes)
One atom of each set of equivalent atoms:
1 Al 0.0000 0.0000 0.0000
2 Cr 0.0000 0.0000 0.7340
3 Br 0.0000 0.0000 0.2709
4 Br 0.0000 0.0000 0.4588

Properties
Its crystal system is trigonal. The calculation puts the density of states at the Fermi level at 1.3555 states/eV/atom.

***

Stability summary - winner: (S); margin: 18.0 kJ/mol of atoms.